Record 1
## YBe2P (GGA-PBE)

Data for crystalline YBe2P at its relaxed geometry.

For the total DFT energy (no corrections), the calculation gives -5.0802 eV/atom. The value obtained for the formation energy is -0.2486 eV/atom. The density of states at the Fermi level comes out at 0.643 states/eV/atom. As for the symmetry: Imm2 (44).

CIF file:
```
data_YBe2P
_chemical_formula_sum 'Y1 Be2 P1'
_cell_length_a 5.468
_cell_length_b 5.468
_cell_length_c 5.468
_cell_angle_alpha 142.86
_cell_angle_beta 141.19
_cell_angle_gamma 54.81
_space_group_name_H-M_alt 'P 1'
_space_group_IT_number 1
loop_
_space_group_symop_operation_xyz
'x,y,z'
loop_
_atom_site_label
_atom_site_type_symbol
_atom_site_fract_x
_atom_site_fract_y
_atom_site_fract_z
Y1 Y 0.000 0.000 0.000
Be1 Be 0.248 0.748 0.500
Be2 Be 0.634 0.634 0.000
P1 P 0.761 0.261 0.500
```

Record 2
## Sc5CS4 (GGA-PBE)

Data for crystalline Sc5CS4 at its relaxed geometry.

For the total DFT energy (no corrections), the calculation gives -7.3600 eV/atom. The value obtained for the uncorrected formation energy is -37.4 kcal/mol of atoms. The density of states at the Fermi level comes out at 0.423 states/eV/atom. As for the symmetry: I4/mmm (139). Its polymorph energy (0 for the lowest one) is 46 meV per atom.

CIF file:
```
data_Sc5CS4
_chemical_formula_sum 'Sc5 C1 S4'
_cell_length_a 13.235
_cell_length_b 13.235
_cell_length_c 13.235
_cell_angle_alpha 164.29
_cell_angle_beta 164.29
_cell_angle_gamma 22.29
_space_group_name_H-M_alt 'P 1'
_space_group_IT_number 1
loop_
_space_group_symop_operation_xyz
'x,y,z'
loop_
_atom_site_label
_atom_site_type_symbol
_atom_site_fract_x
_atom_site_fract_y
_atom_site_fract_z
Sc1 Sc 0.000 0.000 0.000
Sc2 Sc 0.203 0.203 0.000
Sc3 Sc 0.416 0.416 0.000
Sc4 Sc 0.584 0.584 0.000
Sc5 Sc 0.797 0.797 0.000
C1 C 0.500 0.500 0.000
S1 S 0.100 0.100 0.000
S2 S 0.304 0.304 0.000
S3 S 0.696 0.696 0.000
S4 S 0.900 0.900 0.000
```

Record 3
## MgNb2Tl (GGA-PBE)

Data for crystalline MgNb2Tl at its relaxed geometry.

For the total DFT energy (no corrections), the calculation gives -5.3000 eV/atom. The value obtained for the formation energy is 0.7250 eV/atom. The density of states at the Fermi level comes out at 1.092 states/eV/atom. As for the symmetry: I-42d (122).

CIF file:
```
data_MgNb2Tl
_chemical_formula_sum 'Mg2 Nb4 Tl2'
_cell_length_a 6.174
_cell_length_b 6.174
_cell_length_c 6.174
_cell_angle_alpha 101.96
_cell_angle_beta 101.96
_cell_angle_gamma 125.85
_space_group_name_H-M_alt 'P 1'
_space_group_IT_number 1
loop_
_space_group_symop_operation_xyz
'x,y,z'
loop_
_atom_site_label
_atom_site_type_symbol
_atom_site_fract_x
_atom_site_fract_y
_atom_site_fract_z
Mg1 Mg 0.000 0.000 0.000
Mg2 Mg 0.750 0.250 0.500
Nb1 Nb 0.127 0.625 0.002
Nb2 Nb 0.375 0.377 0.502
Nb3 Nb 0.623 0.125 0.998
Nb4 Nb 0.875 0.873 0.498
Tl1 Tl 0.250 0.750 0.500
Tl2 Tl 0.500 0.500 0.000
```

Density / g cm⁻³: 3.727 3.567 8.105
Magnetization / μB/atom: 0.063 0.000 0.000